P) VCoF2: optimized geometry, PBE+U.

Its space-group type is I-42d.

a b c (Å): 4.3285 4.3285 7.1379
angles (deg): 72.35 72.35 90.00
Element x y z (fractional)
F  0.3750  0.4253  0.7500
F  0.1753  0.6250  0.2500
F  0.8750  0.8247  0.7500
F  0.5747  0.1250  0.2500
Co  0.0000  0.0000  0.0000
Co  0.7500  0.2500  0.5000
V  0.2500  0.7500  0.5000
V  0.5000  0.5000  0.0000

***

Q) VCoF2: optimized geometry, PBE+U.

Its space-group type is Fm-3m.

a b c (Å): 4.1552 4.1552 4.1552
angles (deg): 60.00 60.00 60.00
Element x y z (fractional)
F  0.7500  0.7500  0.7500
F  0.2500  0.2500  0.2500
V  0.0000  0.0000  0.0000
Co  0.5000  0.5000  0.5000

***

Last place for stability: Q)

***

P) Co2WF: optimized geometry, PBE+U.

Its space-group type is I-42d.

a b c (Å): 6.8847 6.8847 5.4213
angles (deg): 50.58 50.58 90.00
Element x y z (fractional)
W  0.7500  0.2500  0.5000
W  0.0000  0.0000  0.0000
Co  0.3750  0.4217  0.7500
Co  0.1717  0.6250  0.2500
Co  0.5783  0.1250  0.2500
Co  0.8750  0.8283  0.7500
F  0.5000  0.5000  0.0000
F  0.2500  0.7500  0.5000

***

Q) Co2WF: optimized geometry, PBE+U.

Its space-group type is Fm-3m.

a b c (Å): 4.3700 4.3700 4.3700
angles (deg): 60.00 60.00 60.00
Element x y z (fractional)
Co  0.2500  0.2500  0.2500
Co  0.7500  0.7500  0.7500
W  0.5000  0.5000  0.5000
F  0.0000  0.0000  0.0000

***

Last place for stability: Q)

***

P) CoW3F: optimized geometry, PBE+U.

Its space-group type is Pm-3m.

a b c (Å): 4.2595 4.2595 4.2595
angles (deg): 90.00 90.00 90.00
Element x y z (fractional)
W  0.0000  0.0000  0.5000
W  0.0000  0.5000  0.0000
W  0.5000  0.0000  0.0000
F  0.0000  0.0000  0.0000
Co  0.5000  0.5000  0.5000

***

Q) CoW3F: optimized geometry, PBE+U.

Its space-group type is Pm-3m.

a b c (Å): 4.8018 4.8018 4.8018
angles (deg): 90.00 90.00 90.00
Element x y z (fractional)
W  0.0000  0.5000  0.0000
W  0.0000  0.0000  0.5000
W  0.5000  0.0000  0.0000
F  0.5000  0.5000  0.5000
Co  0.0000  0.0000  0.0000

***

Last place for stability: P)